DFT (PBE) results for CsPuS2 after structural relaxation.

Results
Formation energy without anion corrections, eV/atom: -1.536
M_tot, μB per cell: 5.0
SG: R3m, No. 160
Calculated volume, Å³ per atom: 30.2

Structure (POSCAR):
```
CsPuS2
1.0
-1.705 -2.434 -2.902
-3.253 -2.401 0.952
-6.681 4.381 -2.720
Cs S Pu
1 2 1
direct
0.498 0.498 0.505
0.060 0.060 0.819
0.274 0.274 0.177
0.667 0.667 0.998
```

---

DFT (PBE) results for Cs3PuS3 after structural relaxation.

Results
Formation energy without anion corrections, eV/atom: -1.259
M_tot, μB per cell: 10.0
SG: C2/m, No. 12
Calculated volume, Å³ per atom: 42.5

Structure (POSCAR):
```
Cs3PuS3
1.0
8.765 0.203 -0.058
-3.723 7.938 -0.058
-0.769 -1.242 8.486
Cs S Pu
6 6 2
direct
0.183 0.817 0.500
0.250 0.750 0.000
0.750 0.250 0.000
0.817 0.183 0.500
0.374 0.374 0.639
0.626 0.626 0.361
0.089 0.089 0.823
0.836 0.547 0.727
0.547 0.836 0.727
0.453 0.164 0.273
0.911 0.911 0.177
0.164 0.453 0.273
0.819 0.819 0.861
0.181 0.181 0.139
```

---

DFT (PBE) results for CsPu4S8 after structural relaxation.

Results
Formation energy without anion corrections, eV/atom: -1.455
M_tot, μB per cell: 8.6
SG: Cm, No. 8
Calculated volume, Å³ per atom: 28.5

Structure (POSCAR):
```
CsPu4S8
1.0
4.001 0.000 0.867
1.816 9.455 1.286
-0.027 0.094 9.795
Pu S Cs
4 8 1
direct
0.661 0.179 0.499
0.373 0.819 0.434
0.859 0.495 0.787
0.171 0.512 0.146
0.235 0.645 0.885
0.795 0.361 0.049
0.473 0.327 0.727
0.854 0.977 0.314
0.557 0.680 0.206
0.891 0.670 0.548
0.142 0.329 0.386
0.179 0.022 0.619
0.513 0.005 0.969
```

---

DFT (PBE) results for Cs3Pu3SbS8 after structural relaxation.

Results
Formation energy without anion corrections, eV/atom: -1.327
M_tot, μB per cell: 14.0
SG: R-3m, No. 166
Calculated volume, Å³ per atom: 31.6

Structure (POSCAR):
```
Cs3Pu3SbS8
1.0
-6.286 -4.103 3.331
4.017 -3.157 -6.430
4.539 -0.278 8.222
Cs Pu S Sb
3 3 8 1
direct
0.500 0.500 0.000
0.000 0.500 0.000
0.000 0.000 0.000
0.000 0.500 0.500
0.500 0.000 0.500
0.500 0.500 0.500
0.226 0.949 0.675
0.274 0.548 0.323
0.774 0.051 0.325
0.774 0.548 0.325
0.726 0.452 0.677
0.226 0.452 0.675
0.277 0.051 0.325
0.723 0.949 0.675
0.000 0.000 0.500
```